Computed, not measured: crystalline Sr2LiSn at its relaxed geometry at the PBE level of DFT.

Calculated values
The value obtained for the calculated density is 3.2 g cm⁻³. The volume comes out at 38.88 A^3/atom. As for the raw total energy: -2.245 eV/atom.

Lattice parameters (Å, degrees): 11.853 11.853 11.853 154.38 154.38 36.55
Sites, in units of the cell vectors:
Sr: 0.114 0.625 0.989
Sr: 0.375 0.364 0.489
Sr: 0.636 0.125 0.011
Sr: 0.875 0.886 0.511
Li: 0.250 0.750 0.500
Li: 0.500 0.500 0.000
Sn: 0.000 0.000 0.000
Sn: 0.750 0.250 0.500